Entry 1:
PBE Pm3CdRu, optimized geometry; offset from the most stable computed form = 0.188 eV per atom; symmetry = Pm-3m (221); total moment = 0.000 μB/atom; calculated formation energy = -0.085 eV/atom; DFT total energy = -4.97 eV per atom; density = 6.710 g/cm3
1.0
5.434 0.000 0.000
0.000 5.434 0.000
0.000 0.000 5.434
Pm Cd Ru
3 1 1
Direct
0.000 0.000 0.500
0.000 0.500 0.000
0.500 0.000 0.000
0.500 0.500 0.500
0.000 0.000 0.000

---

Entry 2:
PBE Ca3Cu6Sn5, optimized geometry; symmetry = Immm (71); total moment = 0.000 μB/atom; calculated formation energy = -0.318 eV/atom; DFT total energy = -3.93 eV per atom; density = 6.377 g/cm3
1.0
-2.206 4.997 6.468
2.206 -4.997 6.468
2.206 4.997 -6.468
Ca Cu Sn
3 6 5
Direct
0.000 0.000 0.000
0.312 0.312 0.000
0.688 0.688 0.000
0.165 0.883 0.282
0.299 0.500 0.799
0.399 0.117 0.282
0.601 0.883 0.718
0.701 0.500 0.201
0.835 0.117 0.718
0.018 0.673 0.345
0.327 0.673 0.655
0.500 0.000 0.500
0.673 0.327 0.345
0.982 0.327 0.655

---

Entry 3:
PBE BaBr, optimized geometry; energy relative to the elements, uncorrected = -1.50 eV/atom; symmetry = P-3m1 (164); total moment = 0.000 μB/atom; DFT total energy = -3.30 eV per atom; density = 3.544 g/cm3
1.0
5.226 0.000 0.000
-2.613 4.526 0.000
0.000 0.000 8.606
Ba Br
2 2
Direct
0.333 0.667 0.220
0.667 0.333 0.780
0.333 0.667 0.635
0.667 0.333 0.365